No. 1
# CoSi2Pb SCAN PBEsol geometry
# formation energy (no corrections) = 0.1578 eV per atom
data_CoSi2Pb
_chemical_formula_sum 'Co2 Si4 Pb2'
_cell_length_a 6.587
_cell_length_b 3.770
_cell_length_c 6.114
_cell_angle_alpha 90.00
_cell_angle_beta 110.54
_cell_angle_gamma 90.00
_symmetry_space_group_name_H-M 'C 1 2/m 1'
_symmetry_Int_Tables_number 12
loop_
_symmetry_equiv_pos_as_xyz
'x,y,z'
'-x,-y,-z'
'-x,y,-z'
'x,-y,z'
'x+1/2,y+1/2,z'
'-x+1/2,-y+1/2,-z'
'-x+1/2,y+1/2,-z'
'x+1/2,-y+1/2,z'
loop_
_atom_site_label
_atom_site_type_symbol
_atom_site_fract_x
_atom_site_fract_y
_atom_site_fract_z
_atom_site_occupancy
Co1 Co 0.000 0.000 0.000 1
Si1 Si 0.204 0.500 0.112 1
Pb1 Pb 0.000 0.500 0.500 1


No. 2
# K2SiO3 SCAN PBEsol geometry
# formation energy (no corrections) = -2.5567 eV per atom
data_K2SiO3
_chemical_formula_sum 'K24 Si12 O36'
_cell_length_a 6.252
_cell_length_b 12.783
_cell_length_c 15.706
_cell_angle_alpha 90.00
_cell_angle_beta 107.12
_cell_angle_gamma 90.00
_symmetry_space_group_name_H-M 'P 1 21/c 1'
_symmetry_Int_Tables_number 14
loop_
_symmetry_equiv_pos_as_xyz
'x,y,z'
'-x,-y,-z'
'-x,y+1/2,-z+1/2'
'x,-y+1/2,z+1/2'
loop_
_atom_site_label
_atom_site_type_symbol
_atom_site_fract_x
_atom_site_fract_y
_atom_site_fract_z
_atom_site_occupancy
K1 K 0.020 0.113 0.418 1
K2 K 0.112 0.119 0.861 1
K3 K 0.112 0.699 0.300 1
K4 K 0.271 0.585 0.528 1
K5 K 0.345 0.505 0.780 1
K6 K 0.424 0.642 0.998 1
Si1 Si 0.172 0.119 0.635 1
Si2 Si 0.273 0.150 0.102 1
Si3 Si 0.470 0.245 0.287 1
O1 O 0.066 0.585 0.853 1
O2 O 0.099 0.062 0.115 1
O3 O 0.132 0.236 0.583 1
O4 O 0.274 0.732 0.656 1
O5 O 0.287 0.040 0.581 1
O6 O 0.305 0.194 0.338 1
O7 O 0.350 0.143 0.737 1
O8 O 0.392 0.127 0.026 1
O9 O 0.474 0.169 0.199 1


No. 3
# KBa2Sr SCAN PBEsol geometry
# ΔH_f (0 K) = 43 kJ/mol of formula units
# offset from the most stable computed form = 59 meV per atom
data_KBa2Sr
_chemical_formula_sum 'K4 Ba8 Sr4'
_cell_length_a 9.862
_cell_length_b 9.862
_cell_length_c 9.862
_cell_angle_alpha 90.00
_cell_angle_beta 90.00
_cell_angle_gamma 90.00
_symmetry_space_group_name_H-M 'F m -3 m'
_symmetry_Int_Tables_number 225
_symmetry_space_group_name_Hall '-F 4 2 3'
loop_
_atom_site_label
_atom_site_type_symbol
_atom_site_fract_x
_atom_site_fract_y
_atom_site_fract_z
_atom_site_occupancy
K1 K 0.000 0.000 0.000 1
Ba1 Ba 0.250 0.250 0.250 1
Sr1 Sr 0.000 0.000 0.500 1


No. 4
This record from the Alexandria database describes BaSbH2 at its PBEsol-relaxed geometry. The functional is SCAN.

CIF file:
```
data_BaSbH2
_chemical_formula_sum 'Ba4 Sb4 H8'
_cell_length_a 6.643
_cell_length_b 6.643
_cell_length_c 6.643
_cell_angle_alpha 90.00
_cell_angle_beta 90.00
_cell_angle_gamma 90.00
_symmetry_space_group_name_H-M 'F m -3 m'
_symmetry_Int_Tables_number 225
_symmetry_space_group_name_Hall '-F 4 2 3'
loop_
_atom_site_label
_atom_site_type_symbol
_atom_site_fract_x
_atom_site_fract_y
_atom_site_fract_z
_atom_site_occupancy
Ba1 Ba 0.000 0.000 0.000 1
Sb1 Sb 0.000 0.000 0.500 1
H1 H 0.250 0.250 0.250 1
```


Number 1: size of the total moment 0.00 μB/f.u., electronic total energy -112.5 eV per formula unit. Number 2: size of the total moment 0.00 μB/f.u., electronic total energy -60.7 eV per formula unit. Number 3: size of the total moment 0.46 μB/f.u., electronic total energy -109.3 eV per formula unit. Number 4: size of the total moment 0.00 μB/f.u., electronic total energy -83.7 eV per formula unit.